DFT (PBE with a Hubbard U) results for a geometry-optimized Na2Ni2IrO6 structure.

```
data_Na2Ni2IrO6
_space_group_name_H-M_alt 'C 1 2/m 1'
_space_group_IT_number 12
_cell_length_a 5.318
_cell_length_b 9.017
_cell_length_c 5.737
_cell_angle_alpha 90.00
_cell_angle_beta 109.00
_cell_angle_gamma 90.00
loop_
_space_group_symop_operation_xyz
'x,y,z'
'-x,-y,-z'
'-x,y,-z'
'x,-y,z'
'x+1/2,y+1/2,z'
'-x+1/2,-y+1/2,-z'
'-x+1/2,y+1/2,-z'
'x+1/2,-y+1/2,z'
loop_
_atom_site_label
_atom_site_type_symbol
_atom_site_fract_x
_atom_site_fract_y
_atom_site_fract_z
Na1 Na 0.000 0.174 0.000
Ni1 Ni 0.000 0.336 0.500
Ir1 Ir 0.000 0.000 0.500
O1 O 0.224 0.161 0.693
O2 O 0.245 0.000 0.306
```

E_tot = -5.328 eV per atom